## Tb2Y5Er4 (PBE-GGA)

Data for Tb2Y5Er4 after structural relaxation.

The structure in POSCAR format:
```
Tb2Y5Er4
1.0
-1.615 3.030 0.498
-6.235 -2.417 -5.517
-4.276 -5.832 9.540
Y Er Tb
5 4 2
Cartesian
-4.651 -1.235 4.520
-2.179 -1.504 2.086
-9.948 -3.714 2.435
-0.807 1.515 0.249
-7.475 -3.983 0.001
-5.536 -1.142 1.084
-2.721 -1.268 -1.104
-9.406 -3.949 5.625
-6.590 -4.076 3.437
-5.535 -2.573 -2.291
-6.592 -2.645 6.812
```

Computed properties:
**Energy above the lowest structure with this stoichiometry**: 0.1342 eV/atom
**SG**: C2/m (12)
**Fermi-level density of states**: 1.8450 states/eV/atom
**Energy**: -5.282 eV per atom

***

## NbAlV2 (PBE-GGA)

Data for NbAlV2 after structural relaxation.

The structure in POSCAR format:
```
NbAlV2
1.0
3.227 0.000 0.000
0.000 3.227 0.000
0.000 0.000 5.876
V Al Nb
2 1 1
Cartesian
0.000 0.000 4.424
0.000 0.000 1.452
1.613 1.613 2.938
1.613 1.613 0.000
```

Computed properties:
**SG**: P4/mmm (123)
**Fermi-level density of states**: 0.8748 states/eV/atom
**Energy**: -8.127 eV per atom

***

## NaTcNi (PBE-GGA)

Data for NaTcNi after structural relaxation.

The structure in POSCAR format:
```
NaTcNi
1.0
-0.756 -1.967 -2.864
5.416 -4.373 -0.633
-4.830 -0.086 3.541
Na Ni Tc
2 2 2
Cartesian
-1.376 -5.234 0.404
-1.668 -3.003 -1.049
1.030 -3.200 0.577
1.802 -5.215 -0.450
-4.019 -1.016 2.619
1.437 -3.025 -1.856
```

Computed properties:
**Energy above the lowest structure with this stoichiometry**: 0.2105 eV/atom
**SG**: C2/m (12)
**Fermi-level density of states**: 0.9407 states/eV/atom
**Energy**: -5.370 eV per atom

***

E_form: 0.157, -0.115, 0.452 (eV/atom)